TlBiCl2 GGA-PBE relaxed; energy relative to the elements, uncorrected = -0.44 eV per atom; VASP energy = -2.923 eV per atom; N(E_F) = 0.425 states/eV per atom; E above lowest polymorph = 220 meV/atom; total moment = 0.00 μB per formula unit
1.0
-2.486 2.486 9.720
2.486 -2.486 9.720
2.486 2.486 -9.720
Tl Bi Cl
2 2 4
direct
0.000 0.000 0.000
0.750 0.250 0.500
0.250 0.750 0.500
0.500 0.500 0.000
0.158 0.625 0.033
0.375 0.408 0.533
0.592 0.125 0.967
0.875 0.842 0.467

***

Cd5InAg2 GGA-PBE relaxed; energy of formation from the pure elements = 0.052 eV/atom; VASP energy = -1.575 eV per atom; N(E_F) = 0.281 states/eV per atom; E above lowest polymorph = 29 meV/atom; total moment = 0.00 μB per formula unit
1.0
-3.804 3.804 6.159
3.804 -3.804 6.159
3.804 3.804 -6.159
Cd In Ag
10 2 4
direct
0.000 0.000 0.000
0.006 0.506 0.199
0.193 0.994 0.500
0.307 0.807 0.801
0.494 0.693 0.500
0.500 0.500 0.000
0.506 0.307 0.500
0.693 0.193 0.199
0.807 0.006 0.500
0.994 0.494 0.801
0.250 0.250 0.000
0.750 0.750 0.000
0.139 0.361 0.500
0.361 0.861 0.221
0.639 0.139 0.779
0.861 0.639 0.500

***

Question: Among the records above, which one has the highest VASP energy?
Answer: Cd5InAg2